# 1
# TlW

A crystal of TlW relaxed with PBEsol (SCAN, Alexandria via LeMat-Bulk).

Computed properties:
- total magnetic moment (μB/cell) = 0.0
- Fermi-level density of states (states/eV/cell) = 2.0
- ΔE to the lowest computed polymorph (eV/atom) = 0.030
- DFT total energy (eV/atom) = -69.948
- energy of formation (meV/atom) = 1075

Lattice parameters (Å, degrees): 6.473 6.473 4.948 111.74 111.74 25.02
Element x y z (fractional)
1 Tl 0.103 0.103 0.358
2 Tl 0.897 0.897 0.642
3 W 0.347 0.347 0.093
4 W 0.653 0.653 0.907

---

# 2
# HoCo3

A crystal of HoCo3 relaxed with PBEsol (SCAN, Alexandria via LeMat-Bulk).

Computed properties:
- total magnetic moment (μB/cell) = 11.7
- Fermi-level density of states (states/eV/cell) = 12.5
- DFT total energy (eV/atom) = -25.346
- energy of formation (meV/atom) = -121

Lattice parameters (Å, degrees): 8.454 8.454 8.454 33.43 33.43 33.43
Element x y z (fractional)
1 Ho 0.000 0.000 0.000
2 Ho 0.140 0.140 0.140
3 Ho 0.860 0.860 0.860
4 Co 0.079 0.582 0.582
5 Co 0.335 0.335 0.335
6 Co 0.418 0.418 0.921
7 Co 0.418 0.921 0.418
8 Co 0.500 0.500 0.500
9 Co 0.582 0.079 0.582
10 Co 0.582 0.582 0.079
11 Co 0.665 0.665 0.665
12 Co 0.921 0.418 0.418

---

# 3
# TaRe2Se

A crystal of TaRe2Se relaxed with PBEsol (SCAN, Alexandria via LeMat-Bulk).

Computed properties:
- total magnetic moment (μB/cell) = 0.0
- Fermi-level density of states (states/eV/cell) = 2.8
- uncorrected formation energy (kJ per mole of atoms) = 24.1
- DFT total energy (eV/atom) = -56.965

Lattice parameters (Å, degrees): 4.922 4.922 4.606 105.18 105.18 35.74
Element x y z (fractional)
1 Ta 0.000 0.000 0.000
2 Re 0.500 0.500 0.498
3 Re 0.767 0.767 0.380
4 Se 0.248 0.248 0.821

---

# 4
# MgCu2Tc2

A crystal of MgCu2Tc2 relaxed with PBEsol (SCAN, Alexandria via LeMat-Bulk).

Computed properties:
- total magnetic moment (μB/cell) = 0.0
- Fermi-level density of states (states/eV/cell) = 1.6
- DFT total energy (eV/atom) = -20.608
- energy of formation (meV/atom) = 490

Lattice parameters (Å, degrees): 6.152 6.152 6.152 145.19 145.19 50.04
Element x y z (fractional)
1 Mg 0.000 0.000 0.000
2 Cu 0.250 0.750 0.500
3 Cu 0.750 0.250 0.500
4 Tc 0.401 0.401 0.000
5 Tc 0.599 0.599 0.000

---

Asked for V across the records above, the calculation gives 81 163 63 75 Å³/cell in order.